[1]
The following is a DFT calculation (meta-GGA SCAN) of PrHo3S6 at its PBEsol-relaxed geometry.

It has space group P2_1/m (No. 11), with a = 10.8924 Å, b = 3.9272 Å, c = 11.2013 Å, α = 90.00°, β = 108.83° and γ = 90.00°. The asymmetric unit holds Pr at (0.0500, 0.2500, 0.1957), Ho at (0.1605, 0.2500, 0.5865), Ho at (0.3204, 0.7500, 0.9984), Ho at (0.4420, 0.2500, 0.3327), S at (0.0837, 0.7500, 0.4060), S at (0.1200, 0.2500, 0.9640), S at (0.1969, 0.7500, 0.7490), S at (0.2651, 0.7500, 0.2280), S at (0.3937, 0.2500, 0.5571) and S at (0.4808, 0.2500, 0.1126).

As for the total energy: -27.187 eV per atom. The uncorrected formation energy comes out at -23.8 eV per formula unit.


[2]
The following is a DFT calculation (meta-GGA SCAN) of Ho3Pt at its PBEsol-relaxed geometry.

It has space group Pnma (No. 62), with a = 6.8929 Å, b = 9.3310 Å, c = 6.3642 Å, α = 90.00°, β = 90.00° and γ = 90.00°. The asymmetric unit holds Ho at (0.0238, 0.2500, 0.1264), Ho at (0.1815, 0.0591, 0.6792) and Pt at (0.1100, 0.7500, 0.4511).

As for the total energy: -55.178 eV per atom. The calculation puts the formation energy at -0.89 eV per atom. The density of states at the Fermi level is 15.31 states/eV/cell.


[3]
The following is a DFT calculation (meta-GGA SCAN) of Ho3Pt4 at its PBEsol-relaxed geometry.

It has space group R-3 (No. 148, hexagonal axes), with a = 12.9468 Å, b = 12.9468 Å, c = 5.6366 Å, α = 90.00°, β = 90.00° and γ = 120.00°. The asymmetric unit holds Ho at (0.0425, 0.2108, 0.2368), Pt at (0.0000, 0.0000, 0.0000), Pt at (0.0000, 0.0000, 0.5000) and Pt at (0.0528, 0.2709, 0.7205).

As for the total energy: -62.540 eV per atom. The calculation puts the formation energy at -1.44 eV per atom. The density of states at the Fermi level is 13.28 states/eV/cell.


[4]
The following is a DFT calculation (meta-GGA SCAN) of HoPt at its PBEsol-relaxed geometry.

It has space group Pnma (No. 62), with a = 6.8184 Å, b = 4.4750 Å, c = 5.4740 Å, α = 90.00°, β = 90.00° and γ = 90.00°. The asymmetric unit holds Ho at (0.1816, 0.2500, 0.1416) and Pt at (0.0429, 0.2500, 0.6555).

As for the total energy: -61.112 eV per atom. The calculation puts the formation energy at -1.52 eV per atom. The density of states at the Fermi level is 3.90 states/eV/cell.


[5]
The following is a DFT calculation (meta-GGA SCAN) of Ho2Pt at its PBEsol-relaxed geometry.

It has space group Pnma (No. 62), with a = 6.9882 Å, b = 4.6750 Å, c = 8.6340 Å, α = 90.00°, β = 90.00° and γ = 90.00°. The asymmetric unit holds Ho at (0.0095, 0.2500, 0.1696), Ho at (0.1457, 0.2500, 0.5806) and Pt at (0.2409, 0.2500, 0.9071).

As for the total energy: -57.254 eV per atom. The calculation puts the formation energy at -1.20 eV per atom. The density of states at the Fermi level is 9.91 states/eV/cell.


[6]
The following is a DFT calculation (meta-GGA SCAN) of Ho5Pt4 at its PBEsol-relaxed geometry.

It has space group Pnma (No. 62), with a = 7.3529 Å, b = 14.3161 Å, c = 7.4592 Å, α = 90.00°, β = 90.00° and γ = 90.00°. The asymmetric unit holds Ho at (0.0007, 0.0930, 0.1796), Ho at (0.1564, 0.1228, 0.6668), Ho at (0.1810, 0.7500, 0.5111), Pt at (0.0465, 0.7500, 0.1112), Pt at (0.1834, 0.5411, 0.4662) and Pt at (0.1842, 0.2500, 0.3564).

As for the total energy: -59.831 eV per atom. The calculation puts the formation energy at -1.42 eV per atom. The density of states at the Fermi level is 21.22 states/eV/cell.


[7]
The following is a DFT calculation (meta-GGA SCAN) of HoSiPt at its PBEsol-relaxed geometry.

It has space group Pnma (No. 62), with a = 6.8801 Å, b = 4.2428 Å, c = 7.3597 Å, α = 90.00°, β = 90.00° and γ = 90.00°. The asymmetric unit holds Ho at (0.0036, 0.2500, 0.1991), Si at (0.1854, 0.2500, 0.5875) and Pt at (0.1991, 0.7500, 0.4141).

As for the total energy: -44.462 eV per atom. The density of states at the Fermi level is 4.58 states/eV/cell. The uncorrected formation energy comes out at -4.2 eV per formula unit.


[8]
The following is a DFT calculation (meta-GGA SCAN) of Ho2ZnPt at its PBEsol-relaxed geometry.

It has space group Fm-3m (No. 225), with a = 6.8989 Å, b = 6.8989 Å, c = 6.8989 Å, α = 90.00°, β = 90.00° and γ = 90.00°. The asymmetric unit holds Ho at (0.2500, 0.2500, 0.2500), Zn at (0.0000, 0.0000, 0.0000) and Pt at (0.0000, 0.0000, 0.5000).

As for the total energy: -46.409 eV per atom. The calculation puts the formation energy at -0.99 eV per atom. The density of states at the Fermi level is 6.86 states/eV/cell.


[9]
The following is a DFT calculation (meta-GGA SCAN) of HoRh at its PBEsol-relaxed geometry.

It has space group Pm-3m (No. 221), with a = 3.3521 Å, b = 3.3521 Å, c = 3.3521 Å, α = 90.00°, β = 90.00° and γ = 90.00°. The asymmetric unit holds Ho at (0.0000, 0.0000, 0.0000) and Rh at (0.5000, 0.5000, 0.5000).

As for the total energy: -42.418 eV per atom. The calculation puts the formation energy at -1.04 eV per atom. The density of states at the Fermi level is 0.86 states/eV/cell.


[10]
The following is a DFT calculation (meta-GGA SCAN) of HoRh2 at its PBEsol-relaxed geometry.

It has space group Fd-3m (No. 227, origin choice 2), with a = 7.4065 Å, b = 7.4065 Å, c = 7.4065 Å, α = 90.00°, β = 90.00° and γ = 90.00°. The asymmetric unit holds Ho at (0.1250, 0.1250, 0.1250) and Rh at (0.0000, 0.0000, 0.5000).

As for the total energy: -39.706 eV per atom. The calculation puts the formation energy at -0.86 eV per atom. The density of states at the Fermi level is 10.96 states/eV/cell.


[11]
The following is a DFT calculation (meta-GGA SCAN) of Ho7Rh3 at its PBEsol-relaxed geometry.

It has space group P6_3mc (No. 186), with a = 9.5936 Å, b = 9.5936 Å, c = 6.0089 Å, α = 90.00°, β = 90.00° and γ = 120.00°. The asymmetric unit holds Ho at (0.0816, 0.5408, 0.0000), Ho at (0.1234, 0.2469, 0.2999), Ho at (0.3333, 0.6667, 0.5099) and Rh at (0.1899, 0.3798, 0.7353).

As for the total energy: -45.168 eV per atom. The calculation puts the formation energy at -0.74 eV per atom. The density of states at the Fermi level is 11.48 states/eV/cell.


[12]
The following is a DFT calculation (meta-GGA SCAN) of HoSbRh2 at its PBEsol-relaxed geometry.

It has space group Fm-3m (No. 225), with a = 6.5400 Å, b = 6.5400 Å, c = 6.5400 Å, α = 90.00°, β = 90.00° and γ = 90.00°. The asymmetric unit holds Ho at (0.0000, 0.0000, 0.0000), Sb at (0.0000, 0.0000, 0.5000) and Rh at (0.2500, 0.2500, 0.2500).

As for the total energy: -39.271 eV per atom. The density of states at the Fermi level is 17.65 states/eV/cell. The uncorrected formation energy comes out at -3.3 eV per formula unit.


[13]
The following is a DFT calculation (meta-GGA SCAN) of HoSbRh at its PBEsol-relaxed geometry.

It has space group Pnma (No. 62), with a = 7.0171 Å, b = 4.5081 Å, c = 7.7121 Å, α = 90.00°, β = 90.00° and γ = 90.00°. The asymmetric unit holds Ho at (0.0091, 0.2500, 0.2008), Sb at (0.1930, 0.2500, 0.5909) and Rh at (0.1984, 0.7500, 0.4187).

As for the total energy: -41.166 eV per atom. The density of states at the Fermi level is 5.47 states/eV/cell. The uncorrected formation energy comes out at -3.5 eV per formula unit.


[14]
The following is a DFT calculation (meta-GGA SCAN) of HoSi2Rh3 at its PBEsol-relaxed geometry.

It has space group P6/mmm (No. 191), with a = 5.4238 Å, b = 5.4238 Å, c = 3.6527 Å, α = 90.00°, β = 90.00° and γ = 120.00°. The asymmetric unit holds Ho at (0.0000, 0.0000, 0.0000), Si at (0.3333, 0.6667, 0.0000) and Rh at (0.0000, 0.5000, 0.5000).

As for the total energy: -29.543 eV per atom. The density of states at the Fermi level is 1.34 states/eV/cell. The uncorrected formation energy comes out at -6.9 eV per formula unit.


[15]
The following is a DFT calculation (meta-GGA SCAN) of SmHoRh2 at its PBEsol-relaxed geometry.

It has space group Fm-3m (No. 225), with a = 6.7980 Å, b = 6.7980 Å, c = 6.7980 Å, α = 90.00°, β = 90.00° and γ = 90.00°. The asymmetric unit holds Sm at (0.0000, 0.0000, 0.0000), Ho at (0.0000, 0.0000, 0.5000) and Rh at (0.2500, 0.2500, 0.2500).

As for the total energy: -41.162 eV per atom. The calculation puts the formation energy at -0.92 eV per atom. The density of states at the Fermi level is 8.47 states/eV/cell.


[16]
The following is a DFT calculation (meta-GGA SCAN) of Ho2Sn5Rh3 at its PBEsol-relaxed geometry.

It has space group Cmc2_1 (No. 36), with a = 4.3667 Å, b = 26.1234 Å, c = 7.1141 Å, α = 90.00°, β = 90.00° and γ = 90.00°. The asymmetric unit holds Ho at (0.0000, 0.0241, 0.0000), Ho at (0.0000, 0.3285, 0.0236), Sn at (0.0000, 0.0968, 0.3737), Sn at (0.0000, 0.2056, 0.8130), Sn at (0.0000, 0.2090, 0.2432), Sn at (0.0000, 0.3800, 0.4967), Sn at (0.0000, 0.4525, 0.1627), Rh at (0.0000, 0.1063, 0.7473), Rh at (0.0000, 0.2772, 0.5293) and Rh at (0.0000, 0.4503, 0.7785).

As for the total energy: -38.678 eV per atom. The calculation puts the formation energy at -0.79 eV per atom. The density of states at the Fermi level is 16.31 states/eV/cell.


[17]
The following is a DFT calculation (meta-GGA SCAN) of HoTmRh2 at its PBEsol-relaxed geometry.

It has space group Fm-3m (No. 225), with a = 6.6781 Å, b = 6.6781 Å, c = 6.6781 Å, α = 90.00°, β = 90.00° and γ = 90.00°. The asymmetric unit holds Ho at (0.0000, 0.0000, 0.0000), Tm at (0.0000, 0.0000, 0.5000) and Rh at (0.2500, 0.2500, 0.2500).

As for the total energy: -43.165 eV per atom. The calculation puts the formation energy at -1.07 eV per atom. The density of states at the Fermi level is 6.07 states/eV/cell.


[18]
The following is a DFT calculation (meta-GGA SCAN) of HoSiRu at its PBEsol-relaxed geometry.

It has space group Pnma (No. 62), with a = 6.8892 Å, b = 4.2823 Å, c = 6.9843 Å, α = 90.00°, β = 90.00° and γ = 90.00°. The asymmetric unit holds Ho at (0.0152, 0.2500, 0.1861), Si at (0.1962, 0.2500, 0.6075) and Ru at (0.1536, 0.7500, 0.4340).

As for the total energy: -32.198 eV per atom. The density of states at the Fermi level is 9.27 states/eV/cell. The uncorrected formation energy comes out at -2.8 eV per formula unit.


[19]
The following is a DFT calculation (meta-GGA SCAN) of HoThRu2 at its PBEsol-relaxed geometry.

It has space group Fm-3m (No. 225), with a = 6.8412 Å, b = 6.8412 Å, c = 6.8412 Å, α = 90.00°, β = 90.00° and γ = 90.00°. The asymmetric unit holds Ho at (0.0000, 0.0000, 0.0000), Th at (0.0000, 0.0000, 0.5000) and Ru at (0.2500, 0.2500, 0.2500).

As for the total energy: -54.144 eV per atom. The calculation puts the formation energy at -0.50 eV per atom. The density of states at the Fermi level is 7.07 states/eV/cell.


[20]
The following is a DFT calculation (meta-GGA SCAN) of YHoRu2 at its PBEsol-relaxed geometry.

It has space group Fm-3m (No. 225), with a = 6.6769 Å, b = 6.6769 Å, c = 6.6769 Å, α = 90.00°, β = 90.00° and γ = 90.00°. The asymmetric unit holds Y at (0.0000, 0.0000, 0.0000), Ho at (0.0000, 0.0000, 0.5000) and Ru at (0.2500, 0.2500, 0.2500).

As for the total energy: -37.035 eV per atom. The calculation puts the formation energy at -0.41 eV per atom. The density of states at the Fermi level is 9.74 states/eV/cell.


[21]
The following is a DFT calculation (meta-GGA SCAN) of Ho2ZnRu at its PBEsol-relaxed geometry.

It has space group Fm-3m (No. 225), with a = 6.7911 Å, b = 6.7911 Å, c = 6.7911 Å, α = 90.00°, β = 90.00° and γ = 90.00°. The asymmetric unit holds Ho at (0.2500, 0.2500, 0.2500), Zn at (0.0000, 0.0000, 0.0000) and Ru at (0.0000, 0.0000, 0.5000).

As for the total energy: -37.065 eV per atom. The calculation puts the formation energy at -0.49 eV per atom. The density of states at the Fermi level is 8.81 states/eV/cell.


[22]
The following is a DFT calculation (meta-GGA SCAN) of HoZrRu2 at its PBEsol-relaxed geometry.

It has space group Fm-3m (No. 225), with a = 6.5476 Å, b = 6.5476 Å, c = 6.5476 Å, α = 90.00°, β = 90.00° and γ = 90.00°. The asymmetric unit holds Ho at (0.0000, 0.0000, 0.0000), Zr at (0.0000, 0.0000, 0.5000) and Ru at (0.2500, 0.2500, 0.2500).

As for the total energy: -37.998 eV per atom. The calculation puts the formation energy at -0.66 eV per atom. The density of states at the Fermi level is 5.20 states/eV/cell.